1.
## Pm4Dy6Zr (PBE)

Data for a geometry-optimized Pm4Dy6Zr structure.

```
data_Pm4Dy6Zr
_chemical_formula_sum 'Pm8 Dy12 Zr2'
_symmetry_space_group_name_H-M 'P 4/m n c'
_symmetry_Int_Tables_number 128
_symmetry_space_group_name_Hall '-P 4 2n'
_cell_length_a 8.690
_cell_length_b 8.690
_cell_length_c 9.195
_cell_angle_alpha 90.00
_cell_angle_beta 90.00
_cell_angle_gamma 90.00
loop_
_atom_site_label
_atom_site_fract_x
_atom_site_fract_y
_atom_site_fract_z
Pm1 0.144 0.356 0.250
Dy1 0.000 0.000 0.175
Dy2 0.152 0.658 0.500
Zr1 0.000 0.000 0.500
```

2.
## PmDy2Zr (PBE)

Data for a geometry-optimized PmDy2Zr structure.

```
data_PmDy2Zr
_chemical_formula_sum 'Pm3 Dy6 Zr3'
_symmetry_space_group_name_H-M 'R -3 m'
_symmetry_Int_Tables_number 166
_symmetry_space_group_name_Hall '-R 3 2"'
_cell_length_a 3.3762
_cell_length_b 3.3762
_cell_length_c 36.1894
_cell_angle_alpha 90.00
_cell_angle_beta 90.00
_cell_angle_gamma 120.00
loop_
_atom_site_label
_atom_site_fract_x
_atom_site_fract_y
_atom_site_fract_z
Pm1 0.0000 0.0000 0.0000
Dy1 0.0000 0.0000 0.4145
Zr1 0.0000 0.0000 0.5000
```

no.,V (A^3/atom),ΔE_f (kJ per mole of atoms),total magnetization (μB/f.u.)
1,31.562,13.4,1.39
2,29.770,30.2,0.00